Below is NbReAs3 at its PBEsol-relaxed geometry, with properties calculated at the meta-GGA SCAN level.

abc: 4.7568 4.7568 4.7568
angles: 90.00 90.00 90.00
Site moments in Bohr magnetons follow the coordinates.
Element x y z (fractional)
As (0.0000, 0.5000, 0.0000)  -0.11
As (0.5000, 0.0000, 0.0000)  -0.11
Re (0.0000, 0.0000, 0.0000)  0.83
As (0.0000, 0.0000, 0.5000)  -0.11
Nb (0.5000, 0.5000, 0.5000)  2.52

Output
final energy = -32.00 eV/atom
formation enthalpy at 0 K = 4.79 eV/f.u.
crystal system = cubic
space-group type = No. 221